No. 1
The following is a DFT calculation (PBE-GGA) of a geometry-optimized K3CaNp2Te6 structure.

Unit cell a=7.9082 b=7.9082 c=8.6063 alpha=98.81 beta=98.81 gamma=120.00
Last column: magnetic moment on the atom in μB.
Positions (direct):
K 0.1631 0.8369 0.5000  0.00
K 0.8369 0.1631 0.5000  0.00
K 0.5000 0.5000 0.5000  0.00
Ca 0.0000 0.0000 0.0000  -0.01
Np 0.3329 0.6671 0.0000  3.79
Np 0.6671 0.3329 0.0000  3.79
Te 0.9300 0.5857 0.7908  -0.09
Te 0.7252 0.7252 0.2083  -0.09
Te 0.0700 0.4143 0.2092  -0.09
Te 0.5857 0.9300 0.7908  -0.09
Te 0.2748 0.2748 0.7917  -0.09
Te 0.4143 0.0700 0.2092  -0.09

Values from the calculation:
- Total energy: -5.214 eV/atom
- Uncorrected formation energy: -100.8 kJ per mole of atoms
- Total magnetization: 7.00 μB per formula unit
- Volume: 443.7 Å³/cell


No. 2
The following is a DFT calculation (PBE-GGA) of a geometry-optimized K2CaNpTe4 structure.

Unit cell a=4.6017 b=7.8995 c=8.5859 alpha=107.82 beta=90.00 gamma=90.00
Last column: magnetic moment on the atom in μB.
Positions (direct):
K 0.5000 0.0000 0.5000  0.00
K 0.0000 0.5000 0.5000  -0.01
Ca 0.5000 0.5000 0.0000  0.00
Np 0.0000 0.0000 0.0000  3.52
Te 0.5000 0.2251 0.2070  -0.09
Te 0.5000 0.7749 0.7930  -0.09
Te 0.0000 0.2502 0.7912  -0.08
Te 0.0000 0.7498 0.2088  -0.08

Values from the calculation:
- Total energy: -4.804 eV/atom
- Uncorrected formation energy: -105.2 kJ per mole of atoms
- Total magnetization: 3.00 μB per formula unit
- Volume: 297.1 Å³/cell


No. 3
The following is a DFT calculation (PBE-GGA) of a geometry-optimized K3CaO8 structure.

Unit cell a=6.5954 b=6.5982 c=6.5987 alpha=65.77 beta=79.66 gamma=114.21
Last column: magnetic moment on the atom in μB.
Positions (direct):
K 0.7499 0.5001 0.7500  0.00
K 0.2498 0.4999 0.2500  0.00
K 0.4999 0.0000 0.5000  0.00
Ca 0.0000 0.0000 0.9998  -0.02
O 0.0389 0.0000 0.6405  0.30
O 0.6404 0.6791 0.3595  0.31
O 0.9612 0.3208 0.0387  0.31
O 0.3596 0.0000 0.9614  0.31
O 0.8262 0.0000 0.7115  0.30
O 0.7118 0.5377 0.2885  0.30
O 0.1740 0.4623 0.8263  0.30
O 0.2884 0.0000 0.1739  0.30

Values from the calculation:
- Total energy: -4.821 eV/atom
- Uncorrected formation energy: -103.7 kJ per mole of atoms
- Total magnetization: 3.01 μB per formula unit
- Volume: 216.9 Å³/cell